Record 1
Computed, not measured: KAg2Au after structural relaxation at the PBE level of DFT.

Cell lengths 2.992, 5.454, 5.467 Å; angles 90.00, 90.00, 90.00 degrees
Element x y z (fractional)
Ag 0.500 0.500 0.000
Au 0.500 0.000 0.500
Ag 0.000 0.000 0.000
K 0.000 0.500 0.500

Offset from the most stable computed form, eV per atom: 0.2359
Density, Mg/m³: 8.41

***

Record 2
Computed, not measured: InFeNi after structural relaxation at the PBE level of DFT.

Cell lengths 4.137, 4.137, 4.137 Å; angles 60.00, 60.00, 60.00 degrees
Element x y z (fractional)
Fe 0.000 0.000 0.000
In 0.500 0.500 0.500
Ni 0.250 0.250 0.250

Offset from the most stable computed form, eV per atom: 0.0978
Density, Mg/m³: 7.61

***

Record 3
Computed, not measured: TaTiFeCl2 after structural relaxation at the PBE level of DFT.

Cell lengths 4.368, 4.725, 4.368 Å; angles 90.00, 90.00, 90.00 degrees
Element x y z (fractional)
Ta 0.500 0.500 0.500
Ti 0.000 0.500 0.000
Cl 0.000 0.000 0.500
Cl 0.500 0.000 0.000
Fe 0.000 0.000 0.000

Formation energy without anion corrections, meV/atom: 966
Density, Mg/m³: 6.55

***

Record 4
Computed, not measured: SrZnRe2 after structural relaxation at the PBE level of DFT.

Cell lengths 4.256, 4.256, 10.122 Å; angles 77.86, 77.86, 90.00 degrees
Element x y z (fractional)
Zn 0.500 0.500 0.000
Zn 0.250 0.750 0.500
Sr 0.750 0.250 0.500
Re 0.875 0.482 0.750
Re 0.518 0.625 0.250
Re 0.375 0.768 0.750
Re 0.232 0.125 0.250
Sr 0.000 0.000 0.000

Density, Mg/m³: 9.97
E_tot, eV/atom: -6.027

***

Record 5
Computed, not measured: Sr3Cd2In4 after structural relaxation at the PBE level of DFT.

Cell lengths 5.109, 6.463, 9.730 Å; angles 111.50, 90.00, 113.28 degrees
Element x y z (fractional)
Cd 0.597 0.195 0.268
Sr 0.325 0.650 0.346
Sr 0.675 0.350 0.654
In 0.255 0.510 0.918
In 0.025 0.050 0.361
In 0.745 0.490 0.082
In 0.975 0.950 0.639
Cd 0.403 0.805 0.732
Sr 0.000 0.000 0.000

Density, Mg/m³: 5.81
E_tot, eV/atom: -2.405

***

Record 6
Computed, not measured: NaPrHgBi after structural relaxation at the PBE level of DFT.

Cell lengths 5.483, 5.483, 5.483 Å; angles 60.00, 60.00, 60.00 degrees
Element x y z (fractional)
Hg 0.750 0.750 0.750
Bi 0.250 0.250 0.250
Na 0.000 0.000 0.000
Pr 0.500 0.500 0.500

Density, Mg/m³: 8.17
E_tot, eV/atom: -3.039

***

Record 7
Computed, not measured: Li2CuAu after structural relaxation at the PBE level of DFT.

Cell lengths 5.599, 5.599, 5.599 Å; angles 57.33, 151.50, 131.37 degrees
Element x y z (fractional)
Li 0.000 0.758 0.758
Li 0.000 0.242 0.242
Au 0.000 0.500 0.500
Cu 0.000 0.000 0.000

Density, Mg/m³: 7.30
E_tot, eV/atom: -2.844

***

Record 8
Computed, not measured: Ba11LiIr2 after structural relaxation at the PBE level of DFT.

Cell lengths 14.507, 13.062, 13.062 Å; angles 68.17, 56.27, 56.27 degrees
Element x y z (fractional)
Ir 0.837 0.158 0.842
Ba 0.856 0.928 0.808
Ba 0.092 0.572 0.692
Ba 0.311 0.700 0.300
Ir 0.163 0.842 0.158
Ba 0.811 0.800 0.200
Ba 0.408 0.808 0.928
Ir 0.337 0.342 0.658
Ir 0.663 0.658 0.342
Ba 0.189 0.200 0.800
Ba 0.791 0.408 0.865
Ba 0.689 0.300 0.700
Ba 0.291 0.365 0.908
Li 0.750 0.750 0.750
Ba 0.564 0.092 0.635
Ba 0.356 0.308 0.428
Ba 0.064 0.135 0.592
Ba 0.436 0.908 0.365
Ba 0.908 0.428 0.308
Ba 0.209 0.592 0.135
Ba 0.500 0.500 0.500
Ba 0.644 0.692 0.572
Ba 0.936 0.865 0.408
Ba 0.000 0.000 0.000
Ba 0.592 0.192 0.072
Ba 0.709 0.635 0.092
Li 0.250 0.250 0.250
Ba 0.144 0.072 0.192

Density, Mg/m³: 3.71
E_tot, eV/atom: -2.867

***

Record 9
Computed, not measured: Pm3NdNi3 after structural relaxation at the PBE level of DFT.

Cell lengths 6.938, 6.938, 6.963 Å; angles 90.16, 90.16, 95.64 degrees
Element x y z (fractional)
Nd 0.256 0.256 0.122
Ni 0.942 0.942 0.184
Pm 0.248 0.752 0.000
Ni 0.505 0.017 0.295
Pm 0.332 0.332 0.622
Pm 0.822 0.178 0.500
Ni 0.058 0.058 0.816
Nd 0.744 0.744 0.878
Ni 0.495 0.983 0.705
Ni 0.017 0.505 0.295
Ni 0.983 0.495 0.705
Pm 0.668 0.668 0.378
Pm 0.178 0.822 0.500
Pm 0.752 0.248 0.000

Density, Mg/m³: 7.52
E_tot, eV/atom: -5.394

***

Record 10
Computed, not measured: Er2TmNi9 after structural relaxation at the PBE level of DFT.

Cell lengths 4.934, 4.934, 8.562 Å; angles 73.25, 73.25, 60.00 degrees
Element x y z (fractional)
Ni 0.919 0.417 0.246
Ni 0.667 0.667 0.000
Ni 0.583 0.081 0.754
Ni 0.417 0.919 0.246
Er 0.861 0.861 0.416
Ni 0.333 0.333 0.000
Tm 0.000 0.000 0.000
Ni 0.417 0.417 0.246
Ni 0.500 0.500 0.500
Ni 0.583 0.583 0.754
Er 0.139 0.139 0.584
Ni 0.081 0.583 0.754

Density, Mg/m³: 10.06
E_tot, eV/atom: -5.907

***

Record 11
Computed, not measured: Nd3PaAs4 after structural relaxation at the PBE level of DFT.

Cell lengths 5.960, 5.960, 7.308 Å; angles 114.07, 114.07, 90.00 degrees
Element x y z (fractional)
As 0.000 0.500 0.000
Nd 0.250 0.750 0.500
As 0.500 0.000 0.000
As 0.760 0.760 0.520
Pa 0.000 0.000 0.000
Nd 0.500 0.500 0.000
Nd 0.750 0.250 0.500
As 0.240 0.240 0.480

Offset from the most stable computed form, eV per atom: 0.0030
Density, Mg/m³: 7.54

***

Record 12
Computed, not measured: Be2TlZn after structural relaxation at the PBE level of DFT.

Cell lengths 6.356, 6.356, 6.356 Å; angles 154.56, 144.45, 44.22 degrees
Element x y z (fractional)
Be 0.912 0.912 0.000
Tl 0.546 0.546 0.000
Be 0.763 0.263 0.500
Zn 0.279 0.779 0.500

Offset from the most stable computed form, eV per atom: 0.1771
Density, Mg/m³: 7.47